# Na5Tl2In2

A relaxed structure of Na5Tl2In2 (PBE-GGA, the Alexandria database).

Results
Crystal system   monoclinic
Formation energy from the elements   -0.097 eV/atom

a = 5.2992 Å, b = 6.3654 Å, c = 9.7059 Å
α = 62.96°, β = 74.16°, γ = 65.40°
Positions (direct):
In 0.3032 0.4645 0.9290
In 0.6968 0.5355 0.0710
Na 0.1084 0.4620 0.3211
Na 0.0000 0.0000 0.0000
Na 0.4203 0.8977 0.2617
Na 0.5797 0.1023 0.7383
Na 0.8916 0.5380 0.6789
Tl 0.7699 0.0731 0.3870
Tl 0.2301 0.9269 0.6130

=====

# NaTl2In9

A relaxed structure of NaTl2In9 (PBE-GGA, the Alexandria database).

Results
Crystal system   tetragonal
Formation energy from the elements   0.001 eV/atom

a = 4.6089 Å, b = 4.6089 Å, c = 15.5002 Å
α = 90.00°, β = 90.00°, γ = 90.00°
Positions (direct):
In 0.0000 0.5000 0.5000
In 0.5000 0.5000 0.3271
In 0.0000 0.5000 0.8399
In 0.5000 0.0000 0.5000
In 0.5000 0.5000 0.6729
In 0.5000 0.0000 0.1601
In 0.0000 0.5000 0.1601
In 0.5000 0.5000 0.0000
In 0.5000 0.0000 0.8399
Na 0.0000 0.0000 0.0000
Tl 0.0000 0.0000 0.3275
Tl 0.0000 0.0000 0.6725

=====

# Na8TlIn6

A relaxed structure of Na8TlIn6 (PBE-GGA, the Alexandria database).

Results
Energy above the most stable polymorph in this dataset   0.0 meV/atom
Crystal system   trigonal
Formation energy from the elements   -0.056 eV/atom

a = 8.3259 Å, b = 8.3259 Å, c = 8.3259 Å
α = 65.39°, β = 65.39°, γ = 65.39°
Positions (direct):
In 0.4030 0.7042 0.9970
In 0.5970 0.2958 0.0030
In 0.0030 0.5970 0.2958
In 0.7042 0.9970 0.4030
In 0.9970 0.4030 0.7042
In 0.2958 0.0030 0.5970
Na 0.1585 0.8634 0.3665
Na 0.6335 0.8415 0.1366
Na 0.1366 0.6335 0.8415
Na 0.3665 0.1585 0.8634
Na 0.3989 0.3989 0.3989
Na 0.8634 0.3665 0.1585
Na 0.8415 0.1366 0.6335
Na 0.6011 0.6011 0.6011
Tl 0.0000 0.0000 0.0000

=====

# NaTl4In

A relaxed structure of NaTl4In (PBE-GGA, the Alexandria database).

Results
Energy above the most stable polymorph in this dataset   90.4 meV/atom
Crystal system   cubic
Formation energy from the elements   0.042 eV/atom

a = 6.4732 Å, b = 6.4732 Å, c = 6.4732 Å
α = 60.00°, β = 60.00°, γ = 60.00°
Positions (direct):
Tl 0.1249 0.6250 0.6250
Tl 0.6250 0.1249 0.6250
Tl 0.6250 0.6250 0.6250
Tl 0.6250 0.6250 0.1249
Na 0.2500 0.2500 0.2500
In 0.0000 0.0000 0.0000